1.
Compound: CuHg2B
Source: OQMD via LeMat-Bulk
Functional: PBE
Structure: optimized geometry

Cell and atoms, written as extended XYZ:
```
4
Lattice="0.0000 3.2599 3.2599 3.2599 0.0000 3.2599 3.2599 3.2599 0.0000" Properties=species:S:1:pos:R:3 pbc="T T T"
Cu 0.0000 0.0000 0.0000
Hg 1.6299 1.6299 1.6299
Hg 3.2599 3.2599 3.2599
B 4.8898 4.8898 4.8898
```

Values from the calculation:
Electronic total energy = -1.635 eV/atom

2.
Compound: Er5TmBi6
Source: OQMD via LeMat-Bulk
Functional: PBE
Structure: optimized geometry

Cell and atoms, written as extended XYZ:
```
12
Lattice="3.8366 -6.6446 0.0000 3.8366 6.6446 0.0000 -2.5574 0.0000 7.2338" Properties=species:S:1:pos:R:3 pbc="T T T"
Er 0.0000 0.0000 0.0000
Er 2.5579 4.4308 3.6169
Er 3.8366 2.2187 0.0000
Er 3.8366 -2.2187 0.0000
Er 2.5579 -4.4308 3.6169
Tm 2.5579 0.0000 3.6169
Bi 1.2814 2.2107 1.8117
Bi 0.0054 0.0000 5.4236
Bi 1.2814 -2.2107 1.8117
Bi 3.8345 2.2107 5.4221
Bi 5.1104 0.0000 1.8102
Bi 3.8345 -2.2107 5.4221
```

Values from the calculation:
Electronic total energy = -5.123 eV/atom